Entry 1:
Compound: HfP2F
Source: Alexandria
Functional: PBE
Structure: optimized geometry

Computed properties:
SG   I-42d
E_form (uncorrected)   -0.842 eV/atom
Density   7.42 g cm⁻³
D(E_F)   3.5 states/eV/cell

Structure (POSCAR):
```
HfP2F
1.0
-1.7171 1.7171 9.8485
1.7171 -1.7171 9.8485
1.7171 1.7171 -9.8485
Hf P F
2 4 2
Cartesian
0.0000 0.0000 0.0000 Hf
0.0000 1.7171 4.9242 Hf
0.8586 -0.7635 7.3864 P
0.9536 0.8586 2.4621 P
0.8586 2.4807 -2.4621 P
0.7635 0.8586 12.3106 P
1.7171 0.0000 4.9242 F
0.0000 0.0000 9.8485 F
```

***

Entry 2:
Compound: Hf3PF
Source: Alexandria
Functional: PBE
Structure: optimized geometry

Computed properties:
SG   Pm-3m
E_form (uncorrected)   -0.328 eV/atom
Density   11.30 g cm⁻³
D(E_F)   8.2 states/eV/cell

Structure (POSCAR):
```
Hf3PF
1.0
4.4150 0.0000 0.0000
0.0000 4.4150 0.0000
0.0000 0.0000 4.4150
Hf P F
3 1 1
Cartesian
0.0000 0.0000 2.2075 Hf
0.0000 2.2075 0.0000 Hf
2.2075 0.0000 0.0000 Hf
2.2075 2.2075 2.2075 P
0.0000 0.0000 0.0000 F
```

***

Entry 3:
Compound: HfP2F
Source: Alexandria
Functional: PBE
Structure: optimized geometry

Computed properties:
SG   Fm-3m
E_form (uncorrected)   -0.496 eV/atom
Density   6.95 g cm⁻³
D(E_F)   4.9 states/eV/cell

Structure (POSCAR):
```
HfP2F
1.0
0.0000 3.1406 3.1406
3.1406 0.0000 3.1406
3.1406 3.1406 0.0000
Hf P F
1 2 1
Cartesian
0.0000 0.0000 0.0000 Hf
1.5703 1.5703 1.5703 P
4.7109 4.7109 4.7109 P
3.1406 3.1406 3.1406 F
```

***

Entry 4:
Compound: HfPF2
Source: Alexandria
Functional: PBE
Structure: optimized geometry

Computed properties:
SG   I-42d
E_form (uncorrected)   -1.856 eV/atom
Density   7.12 g cm⁻³
D(E_F)   2.0 states/eV/cell

Structure (POSCAR):
```
HfPF2
1.0
-1.9594 1.9594 7.5197
1.9594 -1.9594 7.5197
1.9594 1.9594 -7.5197
Hf P F
2 2 4
Cartesian
0.0000 0.0000 0.0000 Hf
0.0000 1.9594 3.7598 Hf
1.9594 0.0000 3.7598 P
0.0000 0.0000 7.5197 P
2.9391 0.5547 -1.8799 F
0.5547 0.9797 1.8799 F
-0.9797 1.4047 5.6398 F
1.4047 0.9797 9.3996 F
```